A.
{
  "formula": "BaZrBr",
  "functional": "PBE",
  "state": "relaxed",
  "n_ef_per_ev_cell": 3.27,
  "spacegroup": "Fmm2",
  "cell": [[7.8731, 0.0116, -0.0097], [6.8973, 3.4364, 0.0546], [0.9758, -0.5450, 3.3818]],
  "species": ["Br", "Ba", "Zr"],
  "fractional_positions": [[0.6864, 0.6864, 0.3136], [0.0015, 0.0015, 0.9985], [0.3121, 0.3121, 0.6879]]
}

=====

B.
{
  "formula": "BaZrBr",
  "functional": "PBE",
  "state": "relaxed",
  "n_ef_per_ev_cell": 4.21,
  "spacegroup": "P-6m2",
  "cell": [[5.3215, 0.0000, 0.0000], [-2.6608, 4.6086, 0.0000], [0.0000, 0.0000, 3.8517]],
  "species": ["Br", "Ba", "Zr"],
  "fractional_positions": [[0.6667, 0.3333, 0.5006], [0.0000, 0.0000, 0.9995], [0.3333, 0.6667, 0.4999]]
}

=====

The least stable of them is B.

=====

A.
{
  "formula": "BaC4",
  "functional": "PBE",
  "state": "relaxed",
  "n_ef_per_ev_cell": 12.01,
  "spacegroup": "Pm-3m",
  "cell": [[-4.2857, -3.6872, 1.2790], [2.0744, -3.7613, -3.8921], [3.3057, -2.4199, 4.1006]],
  "species": ["C", "C", "C", "C", "Ba"],
  "fractional_positions": [[0.0000, 0.0000, 0.0000], [0.5000, 0.0000, 0.5000], [0.0000, 0.5000, 0.5000], [0.5000, 0.5000, 0.0000], [0.5000, 0.5000, 0.5000]]
}

=====

B.
{
  "formula": "BaC4",
  "functional": "PBE",
  "state": "relaxed",
  "n_ef_per_ev_cell": 1.86,
  "spacegroup": "I4/mmm",
  "cell": [[0.1443, -4.8382, 2.5383], [-3.2758, -4.3283, -0.6372], [2.9910, 3.7502, -2.6193]],
  "species": ["Ba", "C", "C", "C", "C"],
  "fractional_positions": [[0.0000, 0.0000, 0.0000], [0.7500, 0.2500, 0.5000], [0.2500, 0.7500, 0.5000], [0.7061, 0.7061, 0.0000], [0.2939, 0.2939, 0.0000]]
}

=====

The least stable of them is A.

=====

A.
{
  "formula": "BaC4",
  "functional": "PBE",
  "state": "relaxed",
  "n_ef_per_ev_cell": 3.96,
  "spacegroup": "Im-3m",
  "cell": [[-2.8620, 2.8620, 2.8620], [2.8620, -2.8620, 2.8620], [2.8620, 2.8620, -2.8620]],
  "species": ["Ba", "C", "C", "C", "C"],
  "fractional_positions": [[0.0000, 0.0000, 0.0000], [0.0000, 0.5000, 0.0000], [0.5000, 0.5000, 0.5000], [0.5000, 0.0000, 0.0000], [0.0000, 0.0000, 0.5000]]
}

=====

B.
{
  "formula": "BaC4",
  "functional": "PBE",
  "state": "relaxed",
  "n_ef_per_ev_cell": 1.49,
  "spacegroup": "I4/m",
  "cell": [[2.8317, 3.9349, -0.6389], [-4.4135, -0.1742, 2.0978], [2.6704, -2.6006, 3.1649]],
  "species": ["Ba", "C", "C", "C", "C"],
  "fractional_positions": [[0.0000, 0.0000, 0.0000], [0.8974, 0.4747, 0.3720], [0.4747, 0.1026, 0.5773], [0.1026, 0.5253, 0.6280], [0.5253, 0.8974, 0.4227]]
}

=====

The least stable of them is A.

=====

A.
{
  "formula": "Ba2CCl",
  "functional": "PBE",
  "state": "relaxed",
  "n_ef_per_ev_cell": 2.38,
  "spacegroup": "I-42d",
  "cell": [[-2.1340, -1.2010, -7.2133], [-0.1286, -7.5068, 1.2879], [-5.7570, -4.0486, -1.6450]],
  "species": ["C", "C", "Ba", "Ba", "Ba", "Ba", "Cl", "Cl"],
  "fractional_positions": [[0.5000, 0.5000, 0.0000], [0.2500, 0.7500, 0.5000], [0.5690, 0.1250, 0.2500], [0.1810, 0.6250, 0.2500], [0.3750, 0.4310, 0.7500], [0.8750, 0.8190, 0.7500], [0.0000, 0.0000, 0.0000], [0.7500, 0.2500, 0.5000]]
}

=====

B.
{
  "formula": "Ba2CCl",
  "functional": "PBE",
  "state": "relaxed",
  "n_ef_per_ev_cell": 3.63,
  "spacegroup": "Fm-3m",
  "cell": [[0.0000, 3.7519, 3.7519], [3.7519, 0.0000, 3.7519], [3.7519, 3.7519, 0.0000]],
  "species": ["C", "Ba", "Ba", "Cl"],
  "fractional_positions": [[0.0000, 0.0000, 0.0000], [0.2500, 0.2500, 0.2500], [0.7500, 0.7500, 0.7500], [0.5000, 0.5000, 0.5000]]
}

=====

The least stable of them is B.

=====

A.
{
  "formula": "BaC2Cl",
  "functional": "PBE",
  "state": "relaxed",
  "n_ef_per_ev_cell": 5.97,
  "spacegroup": "Fm-3m",
  "cell": [[0.0000, 3.5603, 3.5603], [3.5603, 0.0000, 3.5603], [3.5603, 3.5603, 0.0000]],
  "species": ["C", "C", "Ba", "Cl"],
  "fractional_positions": [[0.2500, 0.2500, 0.2500], [0.7500, 0.7500, 0.7500], [0.5000, 0.5000, 0.5000], [0.0000, 0.0000, 0.0000]]
}

=====

B.
{
  "formula": "BaC2Cl",
  "functional": "PBE",
  "state": "relaxed",
  "n_ef_per_ev_cell": 4.15,
  "spacegroup": "I4_1/amd",
  "cell": [[-0.2382, -2.2518, 3.4248], [2.4105, -2.8515, -1.7073], [8.8257, 1.9116, 4.3316]],
  "species": ["C", "C", "C", "C", "Ba", "Ba", "Cl", "Cl"],
  "fractional_positions": [[0.3750, 0.1250, 0.2500], [0.3750, 0.6250, 0.2500], [0.3750, 0.6250, 0.7500], [0.8750, 0.6250, 0.7500], [0.0000, 0.0000, 0.0000], [0.7500, 0.2500, 0.5000], [0.5000, 0.5000, 0.0000], [0.2500, 0.7500, 0.5000]]
}

=====

The least stable of them is A.

=====

A.
{
  "formula": "BaC3Cl",
  "functional": "PBE",
  "state": "relaxed",
  "n_ef_per_ev_cell": 9.02,
  "spacegroup": "Pm-3m",
  "cell": [[5.2868, 0.0000, 0.0000], [0.0000, 5.2868, 0.0000], [0.0000, 0.0000, 5.2868]],
  "species": ["C", "C", "C", "Ba", "Cl"],
  "fractional_positions": [[0.0000, 0.5000, 0.0000], [0.0000, 0.0000, 0.5000], [0.5000, 0.0000, 0.0000], [0.0000, 0.0000, 0.0000], [0.5000, 0.5000, 0.5000]]
}

=====

B.
{
  "formula": "BaC3Cl",
  "functional": "PBE",
  "state": "relaxed",
  "n_ef_per_ev_cell": 5.34,
  "spacegroup": "Pm-3m",
  "cell": [[-4.1827, 0.0492, 1.0720], [-1.0707, -0.4827, -4.1554], [0.0725, -4.2909, 0.4798]],
  "species": ["C", "C", "C", "Ba", "Cl"],
  "fractional_positions": [[0.0000, 0.5000, 0.0000], [0.0000, 0.0000, 0.5000], [0.5000, 0.0000, 0.0000], [0.5000, 0.5000, 0.5000], [0.0000, 0.0000, 0.0000]]
}

=====

The least stable of them is A.

=====

A.
{
  "formula": "BaP2CCl",
  "functional": "PBE",
  "state": "relaxed",
  "n_ef_per_ev_cell": 11.06,
  "spacegroup": "P4/mmm",
  "cell": [[6.5954, 0.0000, 0.0000], [0.0000, 6.5954, 0.0000], [0.0000, 0.0000, 5.8581]],
  "species": ["P", "P", "C", "Ba", "Cl"],
  "fractional_positions": [[0.0000, 0.5000, 0.0000], [0.5000, 0.0000, 0.0000], [0.5000, 0.5000, 0.5000], [0.0000, 0.0000, 0.0000], [0.0000, 0.0000, 0.5000]]
}

=====

B.
{
  "formula": "BaP2CCl",
  "functional": "PBE",
  "state": "relaxed",
  "n_ef_per_ev_cell": 10.88,
  "spacegroup": "P4/mmm",
  "cell": [[-5.0873, 2.9091, 2.2719], [-2.8622, -2.1700, -3.6306], [-1.1027, -4.8898, 3.7919]],
  "species": ["P", "P", "C", "Ba", "Cl"],
  "fractional_positions": [[0.0000, 0.0000, 0.5000], [0.5000, 0.0000, 0.0000], [0.0000, 0.5000, 0.0000], [0.0000, 0.0000, 0.0000], [0.5000, 0.5000, 0.5000]]
}

=====

The least stable of them is B.

=====

A.
{
  "formula": "BaPCCl2",
  "functional": "PBE",
  "state": "relaxed",
  "n_ef_per_ev_cell": 1.14,
  "spacegroup": "P4/mmm",
  "cell": [[-4.6613, 0.6655, -3.6819], [1.4950, -5.0607, -2.8073], [-4.3309, -3.9272, 4.7731]],
  "species": ["P", "C", "Ba", "Cl", "Cl"],
  "fractional_positions": [[0.0000, 0.0000, 0.5000], [0.5000, 0.5000, 0.5000], [0.0000, 0.0000, 0.0000], [0.0000, 0.5000, 0.0000], [0.5000, 0.0000, 0.0000]]
}

=====

B.
{
  "formula": "BaPCCl2",
  "functional": "PBE",
  "state": "relaxed",
  "n_ef_per_ev_cell": 1.22,
  "spacegroup": "P4/mmm",
  "cell": [[-3.8544, 3.0174, -2.9818], [-4.1616, -1.9084, 3.4484], [0.5085, 2.7717, 2.1475]],
  "species": ["P", "C", "Ba", "Cl", "Cl"],
  "fractional_positions": [[0.0000, 0.0000, 0.5000], [0.0000, 0.0000, 0.0000], [0.5000, 0.5000, 0.5000], [0.0000, 0.5000, 0.0000], [0.5000, 0.0000, 0.0000]]
}

=====

The least stable of them is A.